[1]
A plane-wave DFT calculation with PBE-GGA was carried out for a relaxed structure of Na2InHgH.

Unit cell a=4.640 b=4.640 c=4.890 alpha=90.00 beta=90.00 gamma=90.00
Element x y z (fractional)
Na 0.000 0.500 0.000
Na 0.500 0.000 0.000
Hg 0.500 0.500 0.500
H 0.000 0.000 0.000
In 0.000 0.000 0.500

Properties
For the energy, the calculation gives -1.862 eV/atom. The energy above the most stable polymorph in this dataset is 0.0000 eV per atom. The value obtained for the total magnetization is 0.0000 μB per atom.

---

[2]
A plane-wave DFT calculation with PBE-GGA was carried out for a relaxed structure of NaIn2HgH.

Unit cell a=4.793 b=4.793 c=4.567 alpha=90.00 beta=90.00 gamma=90.00
Element x y z (fractional)
Na 0.000 0.000 0.500
Hg 0.500 0.500 0.500
H 0.000 0.000 0.000
In 0.000 0.500 0.000
In 0.500 0.000 0.000

Properties
For the energy, the calculation gives -2.054 eV/atom. The value obtained for the total magnetization is 0.0000 μB per atom.

---

[3]
A plane-wave DFT calculation with PBE-GGA was carried out for a relaxed structure of InHgHPb2.

Unit cell a=4.882 b=4.882 c=5.047 alpha=90.00 beta=90.00 gamma=90.00
Element x y z (fractional)
Pb 0.000 0.500 0.000
Pb 0.500 0.000 0.000
H 0.000 0.000 0.000
Hg 0.000 0.000 0.500
In 0.500 0.500 0.500

Properties
For the energy, the calculation gives -2.537 eV/atom. The energy above the most stable polymorph in this dataset is 0.0063 eV per atom. The value obtained for the total magnetization is 0.0000 μB per atom.

---

[4]
A plane-wave DFT calculation with PBE-GGA was carried out for a relaxed structure of InHgHPb2.

Unit cell a=4.912 b=4.912 c=4.973 alpha=90.00 beta=90.00 gamma=90.00
Element x y z (fractional)
Pb 0.000 0.500 0.000
Pb 0.500 0.000 0.000
H 0.000 0.000 0.000
Hg 0.500 0.500 0.500
In 0.000 0.000 0.500

Properties
For the energy, the calculation gives -2.544 eV/atom. The energy above the most stable polymorph in this dataset is 0.0000 eV per atom. The value obtained for the total magnetization is 0.0000 μB per atom.

---

[5]
A plane-wave DFT calculation with PBE-GGA was carried out for a relaxed structure of InHg2HPb.

Unit cell a=4.943 b=4.943 c=4.646 alpha=90.00 beta=90.00 gamma=90.00
Element x y z (fractional)
Pb 0.500 0.500 0.500
H 0.000 0.000 0.000
Hg 0.000 0.500 0.000
Hg 0.500 0.000 0.000
In 0.000 0.000 0.500

Properties
For the energy, the calculation gives -1.821 eV/atom. The value obtained for the total magnetization is 0.0000 μB per atom.

---

[6]
A plane-wave DFT calculation with PBE-GGA was carried out for a relaxed structure of InHg2HPd.

Unit cell a=5.515 b=3.410 c=5.515 alpha=90.00 beta=90.00 gamma=90.00
Element x y z (fractional)
H 0.000 0.500 0.000
Hg 0.000 0.000 0.500
Hg 0.500 0.000 0.000
Pd 0.000 0.000 0.000
In 0.500 0.500 0.500

Properties
For the energy, the calculation gives -2.336 eV/atom. The value obtained for the total magnetization is 0.0000 μB per atom.

---

[7]
A plane-wave DFT calculation with PBE-GGA was carried out for a relaxed structure of InHgHPd2.

Unit cell a=4.127 b=4.127 c=4.447 alpha=90.00 beta=90.00 gamma=90.00
Element x y z (fractional)
H 0.000 0.000 0.000
Hg 0.500 0.500 0.500
Pd 0.000 0.500 0.000
Pd 0.500 0.000 0.000
In 0.000 0.000 0.500

Properties
For the energy, the calculation gives -3.396 eV/atom. The value obtained for the total magnetization is 0.0000 μB per atom.

---

[8]
A plane-wave DFT calculation with PBE-GGA was carried out for a relaxed structure of In2HgHPd.

Unit cell a=5.474 b=5.474 c=3.450 alpha=90.00 beta=90.00 gamma=90.00
Element x y z (fractional)
H 0.000 0.000 0.500
Hg 0.500 0.500 0.500
Pd 0.000 0.000 0.000
In 0.000 0.500 0.000
In 0.500 0.000 0.000

Properties
For the energy, the calculation gives -2.907 eV/atom. The value obtained for the total magnetization is 0.0000 μB per atom.